(1)
# KPPt2 (GGA-PBE, relaxed)
# - Fermi-level density of states (states/eV per atom) = 0.390
# - magnetic moment (Bohr magnetons per cell) = 0.0
# - formation energy from the elements (eV per atom) = -0.10
data_KPPt2
_chemical_formula_sum 'K1 P1 Pt2'
_cell_length_a 3.0130
_cell_length_b 3.7369
_cell_length_c 7.2028
_cell_angle_alpha 90.00
_cell_angle_beta 90.00
_cell_angle_gamma 90.00
_symmetry_space_group_name_H-M 'P m m 2'
_symmetry_Int_Tables_number 25
loop_
_symmetry_equiv_pos_as_xyz
'x,y,z'
'-x,-y,z'
'-x,y,z'
'x,-y,z'
loop_
_atom_site_label
_atom_site_type_symbol
_atom_site_fract_x
_atom_site_fract_y
_atom_site_fract_z
_atom_site_occupancy
K1 K 0.0000 0.0000 0.0000 1
P1 P 0.5000 0.5000 0.3425 1
Pt1 Pt 0.0000 0.0000 0.4614 1
Pt2 Pt 0.5000 0.5000 0.6685 1


(2)
# KPPt (GGA-PBE, relaxed)
# - Fermi-level density of states (states/eV per atom) = 0.115
# - magnetic moment (Bohr magnetons per cell) = 0.0
# - formation energy from the elements (eV per atom) = -0.37
data_KPPt
_chemical_formula_sum 'K2 P2 Pt2'
_cell_length_a 3.3592
_cell_length_b 3.3720
_cell_length_c 11.7015
_cell_angle_alpha 90.00
_cell_angle_beta 90.00
_cell_angle_gamma 90.00
_symmetry_space_group_name_H-M 'I m m 2'
_symmetry_Int_Tables_number 44
loop_
_symmetry_equiv_pos_as_xyz
'x,y,z'
'-x,-y,z'
'-x,y,z'
'x,-y,z'
'x+1/2,y+1/2,z+1/2'
'-x+1/2,-y+1/2,z+1/2'
'-x+1/2,y+1/2,z+1/2'
'x+1/2,-y+1/2,z+1/2'
loop_
_atom_site_label
_atom_site_type_symbol
_atom_site_fract_x
_atom_site_fract_y
_atom_site_fract_z
_atom_site_occupancy
K1 K 0.0000 0.0000 0.0000 1
P1 P 0.0000 0.0000 0.7186 1
Pt1 Pt 0.0000 0.0000 0.2757 1


(3)
# KPPt2 (GGA-PBE, relaxed)
# - Fermi-level density of states (states/eV per atom) = 0.651
# - magnetic moment (Bohr magnetons per cell) = 0.0
# - formation energy from the elements (eV per atom) = 0.34
data_KPPt2
_chemical_formula_sum 'K2 P2 Pt4'
_cell_length_a 5.8369
_cell_length_b 10.0494
_cell_length_c 2.7293
_cell_angle_alpha 90.00
_cell_angle_beta 116.46
_cell_angle_gamma 90.00
_symmetry_space_group_name_H-M 'C 1 2/m 1'
_symmetry_Int_Tables_number 12
loop_
_symmetry_equiv_pos_as_xyz
'x,y,z'
'-x,-y,-z'
'-x,y,-z'
'x,-y,z'
'x+1/2,y+1/2,z'
'-x+1/2,-y+1/2,-z'
'-x+1/2,y+1/2,-z'
'x+1/2,-y+1/2,z'
loop_
_atom_site_label
_atom_site_type_symbol
_atom_site_fract_x
_atom_site_fract_y
_atom_site_fract_z
_atom_site_occupancy
K1 K 0.0000 0.0000 0.0000 1
P1 P 0.0000 0.5000 0.0000 1
Pt1 Pt 0.2500 0.2500 0.0000 1


(4)
# KPPt (GGA-PBE, relaxed)
# - Fermi-level density of states (states/eV per atom) = 1.315
# - magnetic moment (Bohr magnetons per cell) = 0.0
# - formation energy from the elements (eV per atom) = 0.43
data_KPPt
_chemical_formula_sum 'K4 P4 Pt4'
_cell_length_a 6.4599
_cell_length_b 6.4599
_cell_length_c 6.4599
_cell_angle_alpha 90.00
_cell_angle_beta 90.00
_cell_angle_gamma 90.00
_symmetry_space_group_name_H-M 'F -4 3 m'
_symmetry_Int_Tables_number 216
_symmetry_space_group_name_Hall 'F -4 2 3'
loop_
_atom_site_label
_atom_site_type_symbol
_atom_site_fract_x
_atom_site_fract_y
_atom_site_fract_z
_atom_site_occupancy
K1 K 0.0000 0.0000 0.0000 1
P1 P 0.2500 0.2500 0.2500 1
Pt1 Pt 0.0000 0.0000 0.5000 1


(5)
# K2PPt (GGA-PBE, relaxed)
# - Fermi-level density of states (states/eV per atom) = 0.280
# - magnetic moment (Bohr magnetons per cell) = 0.0
# - formation energy from the elements (eV per atom) = -0.53
data_K2PPt
_chemical_formula_sum 'K4 P2 Pt2'
_cell_length_a 4.4300
_cell_length_b 5.6981
_cell_length_c 9.8918
_cell_angle_alpha 90.00
_cell_angle_beta 90.00
_cell_angle_gamma 90.00
_symmetry_space_group_name_H-M 'A m m 2'
_symmetry_Int_Tables_number 38
loop_
_symmetry_equiv_pos_as_xyz
'x,y,z'
'-x,-y,z'
'-x,y,z'
'x,-y,z'
'x,y+1/2,z+1/2'
'-x,-y+1/2,z+1/2'
'-x,y+1/2,z+1/2'
'x,-y+1/2,z+1/2'
loop_
_atom_site_label
_atom_site_type_symbol
_atom_site_fract_x
_atom_site_fract_y
_atom_site_fract_z
_atom_site_occupancy
K1 K 0.0000 0.0000 0.0000 1
K2 K 0.5000 0.0000 0.3329 1
P1 P 0.0000 0.0000 0.6667 1
Pt1 Pt 0.5000 0.0000 0.6661 1


(6)
# KPPt (GGA-PBE, relaxed)
# - Fermi-level density of states (states/eV per atom) = 1.063
# - magnetic moment (Bohr magnetons per cell) = 0.0
# - formation energy from the elements (eV per atom) = -0.52
data_KPPt
_chemical_formula_sum 'K1 P1 Pt1'
_cell_length_a 4.0010
_cell_length_b 4.0010
_cell_length_c 5.3135
_cell_angle_alpha 90.00
_cell_angle_beta 90.00
_cell_angle_gamma 120.00
_symmetry_space_group_name_H-M 'P -6 m 2'
_symmetry_Int_Tables_number 187
_symmetry_space_group_name_Hall 'P -6 2'
loop_
_atom_site_label
_atom_site_type_symbol
_atom_site_fract_x
_atom_site_fract_y
_atom_site_fract_z
_atom_site_occupancy
K1 K 0.0000 0.0000 0.0000 1
P1 P 0.3333 0.6667 0.5000 1
Pt1 Pt 0.6667 0.3333 0.5000 1


(7)
# K2P2Pt (GGA-PBE, relaxed)
# - Fermi-level density of states (states/eV per atom) = 0.237
# - magnetic moment (Bohr magnetons per cell) = 0.0
# - formation energy from the elements (eV per atom) = -0.44
data_K2P2Pt
_chemical_formula_sum 'K4 P4 Pt2'
_cell_length_a 6.2127
_cell_length_b 6.2127
_cell_length_c 5.4631
_cell_angle_alpha 90.00
_cell_angle_beta 90.00
_cell_angle_gamma 90.00
_symmetry_space_group_name_H-M 'P 4/m b m'
_symmetry_Int_Tables_number 127
_symmetry_space_group_name_Hall '-P 4 2ab'
loop_
_atom_site_label
_atom_site_type_symbol
_atom_site_fract_x
_atom_site_fract_y
_atom_site_fract_z
_atom_site_occupancy
K1 K 0.1756 0.3244 0.0000 1
P1 P 0.1305 0.6305 0.5000 1
Pt1 Pt 0.0000 0.0000 0.5000 1


(8)
# K2PPt (GGA-PBE, relaxed)
# - Fermi-level density of states (states/eV per atom) = 0.379
# - magnetic moment (Bohr magnetons per cell) = 0.0
# - formation energy from the elements (eV per atom) = -0.43
data_K2PPt
_chemical_formula_sum 'K8 P4 Pt4'
_cell_length_a 12.5321
_cell_length_b 12.5321
_cell_length_c 4.4276
_cell_angle_alpha 90.00
_cell_angle_beta 90.00
_cell_angle_gamma 90.00
_symmetry_space_group_name_H-M 'I -4 2 d'
_symmetry_Int_Tables_number 122
_symmetry_space_group_name_Hall 'I -4 2bw'
loop_
_atom_site_label
_atom_site_type_symbol
_atom_site_fract_x
_atom_site_fract_y
_atom_site_fract_z
_atom_site_occupancy
K1 K 0.0033 0.2500 0.1250 1
P1 P 0.0000 0.0000 0.5000 1
Pt1 Pt 0.0000 0.0000 0.0000 1


(9)
# KPPt4 (GGA-PBE, relaxed)
# - relative energy among the computed polymorphs (eV per formula unit) = 0.00
# - Fermi-level density of states (states/eV per atom) = 0.561
# - magnetic moment (Bohr magnetons per cell) = 0.0
# - formation energy from the elements (eV per atom) = -0.28
data_KPPt4
_chemical_formula_sum 'K4 P4 Pt16'
_cell_length_a 11.5643
_cell_length_b 5.5956
_cell_length_c 7.3532
_cell_angle_alpha 90.00
_cell_angle_beta 95.75
_cell_angle_gamma 90.00
_symmetry_space_group_name_H-M 'C 1 2/m 1'
_symmetry_Int_Tables_number 12
loop_
_symmetry_equiv_pos_as_xyz
'x,y,z'
'-x,-y,-z'
'-x,y,-z'
'x,-y,z'
'x+1/2,y+1/2,z'
'-x+1/2,-y+1/2,-z'
'-x+1/2,y+1/2,-z'
'x+1/2,-y+1/2,z'
loop_
_atom_site_label
_atom_site_type_symbol
_atom_site_fract_x
_atom_site_fract_y
_atom_site_fract_z
_atom_site_occupancy
K1 K 0.2277 0.0000 0.3518 1
P1 P 0.0541 0.5000 0.2705 1
Pt1 Pt 0.0000 0.2387 0.5000 1
Pt2 Pt 0.0788 0.2353 0.8706 1
Pt3 Pt 0.2163 0.5000 0.1201 1


(10)
# K6P2Pt (GGA-PBE, relaxed)
# - relative energy among the computed polymorphs (eV per formula unit) = 3.83
# - Fermi-level density of states (states/eV per atom) = 0.650
# - magnetic moment (Bohr magnetons per cell) = 4.0
# - formation energy from the elements (eV per atom) = 0.16
data_K6P2Pt
_chemical_formula_sum 'K12 P4 Pt2'
_cell_length_a 8.0120
_cell_length_b 8.0120
_cell_length_c 11.5957
_cell_angle_alpha 90.00
_cell_angle_beta 90.00
_cell_angle_gamma 90.00
_symmetry_space_group_name_H-M 'P 4/m n c'
_symmetry_Int_Tables_number 128
_symmetry_space_group_name_Hall '-P 4 2n'
loop_
_atom_site_label
_atom_site_type_symbol
_atom_site_fract_x
_atom_site_fract_y
_atom_site_fract_z
_atom_site_occupancy
K1 K 0.0000 0.0000 0.2473 1
K2 K 0.1526 0.3396 0.5000 1
P1 P 0.0000 0.5000 0.2500 1
Pt1 Pt 0.0000 0.0000 0.5000 1


Q: What is the formula in the eighth record?
A: K2PPt